A plane-wave DFT calculation with PBEsol was carried out for an optimized crystal structure of AlSiNi2.

Values from the calculation:
- Formation energy (no corrections): -242 meV/atom
- ρ: 6157 kg/m3
- D(E_F): 1.69 states/eV per cell

a b c (Å): 4.037 4.037 4.037
angles (deg): 60.00 60.00 60.00
Element x y z (fractional)
Al: 0.000 0.000 0.000
Ni: 0.500 0.500 0.500
Ni: 0.750 0.750 0.750
Si: 0.250 0.250 0.250